(1)
Density functional theory data (GGA-PBE) for crystalline RbB3Br at its relaxed geometry.

Summary:
**Calculated total energy**: -10.658 eV per cell
**Distance to the lowest polymorph of the same formula**: 0.000 eV per atom
**Raw formation energy**: 2.40 eV/atom

The structure in extended XYZ format:
```
5
Lattice="5.012 0.000 0.000 0.000 5.012 0.000 0.000 0.000 5.012" Properties=species:S:1:pos:R:3 pbc="T T T"
B 0.000 0.000 2.506
B 0.000 2.506 0.000
B 2.506 0.000 0.000
Br 0.000 0.000 0.000
Rb 2.506 2.506 2.506
```

---

(2)
Density functional theory data (GGA-PBE) for crystalline Ba2NiRu at its relaxed geometry.

Summary:
**Calculated total energy**: -16.229 eV per cell
**Distance to the lowest polymorph of the same formula**: 0.522 eV per atom
**Energy of formation from the pure elements**: 0.668 eV per atom

The structure in extended XYZ format:
```
4
Lattice="0.000 3.771 3.771 3.771 0.000 3.771 3.771 3.771 0.000" Properties=species:S:1:pos:R:3 pbc="T T T"
Ru 3.771 3.771 3.771
Ba 1.886 1.886 1.886
Ba 5.657 5.657 5.657
Ni 0.000 0.000 0.000
```

---

(3)
Density functional theory data (GGA-PBE) for crystalline RbTl2P2 at its relaxed geometry.

Summary:
**Calculated total energy**: -15.960 eV per cell
**Distance to the lowest polymorph of the same formula**: 0.207 eV per atom
**Energy of formation from the pure elements**: 0.112 eV per atom

The structure in extended XYZ format:
```
5
Lattice="5.096 0.000 0.000 0.000 5.096 0.000 2.548 2.548 5.409" Properties=species:S:1:pos:R:3 pbc="T T T"
Tl 5.096 5.096 3.907
Tl 2.548 2.548 1.502
P 2.548 5.096 2.705
P 5.096 2.548 2.705
Rb 0.000 0.000 0.000
```

---

(4)
Density functional theory data (GGA-PBE) for crystalline Dy4Tm9In11 at its relaxed geometry.

Summary:
**Calculated total energy**: -97.656 eV per cell
**Energy of formation from the pure elements**: -0.370 eV per atom

The structure in extended XYZ format:
```
24
Lattice="-3.399 -0.143 0.591 -0.821 -11.774 -7.563 2.466 -2.734 13.526" Properties=species:S:1:pos:R:3 pbc="T T T"
In 1.221 -6.159 5.536
In 1.879 -9.581 8.496
In -0.234 -4.927 -2.533
In 1.847 -4.437 9.553
In 0.000 0.000 0.000
In 0.671 -12.904 0.745
In 1.311 -11.561 4.752
In 0.424 -8.349 0.427
In -0.202 -10.071 -3.590
In 0.975 -1.604 5.218
In 0.334 -2.947 1.211
Dy -0.860 -10.571 2.590
Dy -0.325 -9.098 6.027
Dy -0.894 -4.080 3.964
Dy -1.429 -5.553 0.527
Tm -0.547 -13.893 3.591
Tm -0.327 -3.701 7.317
Tm -1.427 -10.949 -0.763
Tm -1.207 -0.758 2.963
Tm 0.085 -12.154 7.647
Tm -0.877 -7.325 3.277
Tm -1.792 -7.732 -2.085
Tm -1.839 -2.496 -1.093
Tm 0.038 -6.919 8.639
```